CuNiMoPt | GGA-PBE | relaxed

abc: 6.0573 6.0573 6.0573
angles: 90.00 90.00 90.00
Last column: nearest neighbours and their distance in Å.
Space group F-43m (No. 216)
One atom of each set of equivalent atoms:
Cu: 0.0000 0.0000 0.0000 (multiplicity 4)  4 Ni 2.62, 4 Pt 2.62
Ni: 0.2500 0.2500 0.2500 (multiplicity 4)  4 Mo 2.62, 4 Cu 2.62
Mo: 0.0000 0.0000 0.5000 (multiplicity 4)  4 Ni 2.62, 4 Pt 2.62
Pt: 0.2500 0.2500 0.7500 (multiplicity 4)  4 Mo 2.62, 4 Cu 2.62

- ΔH_f (0 K) (eV per atom) = 0.05
- N(E_F) (states/eV/f.u.) = 5.639
- calculated density (g cm⁻³) = 12.4
- DFT total energy (eV/cell) = -106.2
- crystal system = cubic